Record 1
VASP calculation (SCAN) on Hf2BiRh2 at its PBEsol-relaxed geometry.

Results
Space-group type: P4/mbm (127)
DFT formation energy: -3.78 eV/f.u.

```
Hf2BiRh2
1.0
3.1729 0.0000 0.0000
0.0000 7.6806 0.0000
0.0000 0.0000 7.6806
Rh Hf Bi
4 4 2
direct
0.0000 0.3686 0.8686
0.0000 0.8686 0.6314
0.0000 0.6314 0.1314
0.0000 0.1314 0.3686
0.5000 0.1565 0.6565
0.5000 0.6565 0.8435
0.5000 0.8435 0.3435
0.5000 0.3435 0.1565
0.0000 0.0000 0.0000
0.0000 0.5000 0.5000
```


Record 2
VASP calculation (SCAN) on HfBiRh2W at its PBEsol-relaxed geometry.

Results
Space-group type: P4/mmm (123)
DFT formation energy: 8.23 eV/f.u.

```
HfBiRh2W
1.0
-1.7756 -0.7394 4.2178
0.3839 -4.5751 -0.6404
4.9086 0.1197 2.0875
Rh Hf Bi W
2 1 1 1
direct
0.0000 0.5000 0.0000
0.5000 0.0000 0.0000
0.0000 0.0000 0.0000
0.0000 0.0000 0.5000
0.5000 0.5000 0.5000
```


Record 3
VASP calculation (SCAN) on Y2HfBiRu at its PBEsol-relaxed geometry.

Results
Space-group type: P4/mmm (123)
DFT formation energy: -1.43 eV/f.u.

```
Y2HfBiRu
1.0
4.8676 0.0000 0.0000
0.0000 5.2938 0.0000
0.0000 0.0000 5.2938
Y Ru Hf Bi
2 1 1 1
direct
0.0000 0.0000 0.5000
0.0000 0.5000 0.0000
0.0000 0.0000 0.0000
0.5000 0.0000 0.0000
0.5000 0.5000 0.5000
```


Record 4
VASP calculation (SCAN) on Hf2Bi2S at its PBEsol-relaxed geometry.

Results
Space-group type: P4/mbm (127)
Formation energy from raw total energies: 1.17 eV/f.u.

```
Hf2Bi2S
1.0
3.6884 0.0000 0.0000
0.0000 8.1025 0.0000
0.0000 0.0000 8.1025
S Hf Bi
2 4 4
direct
0.0000 0.0000 0.0000
0.0000 0.5000 0.5000
0.5000 0.1327 0.6327
0.5000 0.6327 0.8673
0.5000 0.8673 0.3673
0.5000 0.3673 0.1327
0.0000 0.3378 0.8378
0.0000 0.8378 0.6622
0.0000 0.6622 0.1622
0.0000 0.1622 0.3378
```


Record 5
VASP calculation (SCAN) on Hf2SiBiS at its PBEsol-relaxed geometry.

Results
Space-group type: P4/mmm (123)
Formation energy from raw total energies: 3.62 eV/f.u.

```
Hf2SiBiS
1.0
4.9363 0.0000 0.0000
0.0000 4.9363 0.0000
0.0000 0.0000 5.0566
Si S Hf Bi
1 1 2 1
direct
0.0000 0.0000 0.0000
0.5000 0.5000 0.5000
0.0000 0.5000 0.0000
0.5000 0.0000 0.0000
0.0000 0.0000 0.5000
```


Record 6
VASP calculation (SCAN) on HfTiBi2S at its PBEsol-relaxed geometry.

Results
Space-group type: P4/mmm (123)
Formation energy from raw total energies: 1.13 eV/f.u.

```
HfTiBi2S
1.0
-1.8037 -1.4872 4.0610
-1.1710 -4.9757 -2.3423
5.0556 -1.9164 1.5436
S Hf Bi Ti
1 1 2 1
direct
0.5000 0.0000 0.0000
0.0000 0.0000 0.0000
0.0000 0.0000 0.5000
0.0000 0.5000 0.0000
0.5000 0.5000 0.5000
```


Record 7
VASP calculation (SCAN) on HfBiW2S at its PBEsol-relaxed geometry.

Results
Space-group type: P4/mmm (123)
Formation energy from raw total energies: 14.56 eV/f.u.

```
HfBiW2S
1.0
-0.3467 -1.9010 -4.5842
3.7113 -3.1501 1.0256
-3.5192 -3.5767 1.7493
S Hf Bi W
1 1 1 2
direct
0.5000 0.5000 0.5000
0.0000 0.0000 0.5000
0.0000 0.0000 0.0000
0.0000 0.5000 0.0000
0.5000 0.0000 0.0000
```


Record 8
VASP calculation (SCAN) on Hf2Bi2Sb at its PBEsol-relaxed geometry.

Results
Space-group type: P4/mbm (127)
Formation energy from raw total energies: -0.86 eV/f.u.

```
Hf2Bi2Sb
1.0
3.9718 0.0000 0.0000
0.0000 7.8306 0.0000
0.0000 0.0000 7.8306
Sb Hf Bi
2 4 4
direct
0.0000 0.0000 0.0000
0.0000 0.5000 0.5000
0.0000 0.3503 0.8503
0.0000 0.8503 0.6497
0.0000 0.6497 0.1497
0.0000 0.1497 0.3503
0.5000 0.1487 0.6487
0.5000 0.6487 0.8513
0.5000 0.8513 0.3513
0.5000 0.3513 0.1487
```